1.
Compound: Na2ScC2O6
Source: Alexandria via LeMat-Bulk
Functional: GGA-PBE
Structure: optimized geometry

Lattice parameters (Å, degrees): 5.1790 5.1790 6.4790 90.00 90.00 120.00
Space group P-3 (No. 147)
One atom of each set of equivalent atoms:
1 Na 0.3333 0.6667 0.3135 [2 per cell]
2 Sc 0.0000 0.0000 0.0000 [1 per cell]
3 C 0.3333 0.6667 0.8223 [2 per cell]
4 O 0.1219 0.3882 0.8149 [6 per cell]

Values from the calculation:
Density (g cm⁻³): 2.33
Formation energy (no corrections) (eV/atom): -1.805
M_tot (Bohr magnetons per cell): 0.5

2.
Compound: YTaN2F
Source: Alexandria via LeMat-Bulk
Functional: GGA-PBE
Structure: optimized geometry

Lattice parameters (Å, degrees): 4.129 4.129 3.965 90.00 90.00 90.00
Space group P4/mmm (No. 123)
One atom of each set of equivalent atoms:
1 Y 0.000 0.000 0.000 [1 per cell]
2 Ta 0.500 0.500 0.500 [1 per cell]
3 N 0.000 0.500 0.500 [2 per cell]
4 F 0.500 0.500 0.000 [1 per cell]

Values from the calculation:
Density (g cm⁻³): 7.78
Formation energy (no corrections) (eV/atom): -1.353
Energy relative to the lowest polymorph listed for this composition (kcal/mol of atoms): 0.00
M_tot (Bohr magnetons per cell): 0.0

3.
Compound: Cs6Te2BrCl
Source: Alexandria via LeMat-Bulk
Functional: GGA-PBE
Structure: optimized geometry

Lattice parameters (Å, degrees): 8.883 9.843 15.576 90.00 124.69 90.00
Space group P2_1/c (No. 14)
One atom of each set of equivalent atoms:
1 Cs 0.108 0.060 0.245 [4 per cell]
2 Cs 0.247 0.688 0.072 [4 per cell]
3 Cs 0.382 0.180 0.067 [4 per cell]
4 Te 0.283 0.091 0.751 [4 per cell]
5 Br 0.500 0.000 0.500 [2 per cell]
6 Cl 0.000 0.000 0.000 [2 per cell]

Values from the calculation:
Density (g cm⁻³): 3.46
Formation energy (no corrections) (eV/atom): -1.327
M_tot (Bohr magnetons per cell): 0.0

4.
Compound: ZnSi2Mo
Source: Alexandria via LeMat-Bulk
Functional: GGA-PBE
Structure: optimized geometry

Lattice parameters (Å, degrees): 3.277 3.277 5.321 90.00 90.00 90.00
Space group P4/mmm (No. 123)
One atom of each set of equivalent atoms:
1 Zn 0.000 0.000 0.000 [1 per cell]
2 Si 0.500 0.500 0.256 [2 per cell]
3 Mo 0.000 0.000 0.500 [1 per cell]

Values from the calculation:
Density (g cm⁻³): 6.32
Formation energy (no corrections) (eV/atom): -0.108
M_tot (Bohr magnetons per cell): 0.0

5.
Compound: Ba6Sr12Mg
Source: Alexandria via LeMat-Bulk
Functional: GGA-PBE
Structure: optimized geometry

Lattice parameters (Å, degrees): 16.8264 16.8264 13.9291 90.00 90.00 120.00
Space group R-3 (No. 148, hexagonal axes)
One atom of each set of equivalent atoms:
1 Ba 0.0564 0.8775 0.1226 [18 per cell]
2 Sr 0.0569 0.8286 0.4180 [18 per cell]
3 Sr 0.0596 0.5905 0.3810 [18 per cell]
4 Mg 0.0000 0.0000 0.5000 [3 per cell]

Values from the calculation:
Density (g cm⁻³): 2.77
Calculated formation energy (kJ/mol of formula units): 308
M_tot (Bohr magnetons per cell): 0.0

6.
Compound: Ca2NbTcN5
Source: Alexandria via LeMat-Bulk
Functional: GGA-PBE
Structure: optimized geometry

Lattice parameters (Å, degrees): 3.274 13.397 10.720 90.00 90.00 90.00
Space group Cmc2_1 (No. 36)
One atom of each set of equivalent atoms:
1 Ca 0.000 0.105 0.000 [4 per cell]
2 Ca 0.000 0.154 0.630 [4 per cell]
3 Nb 0.000 0.222 0.349 [4 per cell]
4 Tc 0.000 0.470 0.763 [4 per cell]
5 N 0.000 0.042 0.353 [4 per cell]
6 N 0.000 0.282 0.975 [4 per cell]
7 N 0.000 0.323 0.719 [4 per cell]
8 N 0.000 0.363 0.320 [4 per cell]
9 N 0.000 0.490 0.106 [4 per cell]

Values from the calculation:
Density (g cm⁻³): 4.82
Formation energy (no corrections) (eV/atom): -0.667
M_tot (Bohr magnetons per cell): 0.0

7.
Compound: Cr2CuTe
Source: Alexandria via LeMat-Bulk
Functional: GGA-PBE
Structure: optimized geometry

Lattice parameters (Å, degrees): 2.9959 2.9959 23.3879 90.00 90.00 120.00
Space group R-3m (No. 166, hexagonal axes)
One atom of each set of equivalent atoms:
1 Cr 0.0000 0.0000 0.2475 [6 per cell]
2 Cu 0.0000 0.0000 0.5000 [3 per cell]
3 Te 0.0000 0.0000 0.0000 [3 per cell]

Values from the calculation:
Density (g cm⁻³): 8.09
Formation energy (no corrections) (eV/atom): 0.831
M_tot (Bohr magnetons per cell): 0.0

8.
Compound: SmHo3Mg8
Source: Alexandria via LeMat-Bulk
Functional: GGA-PBE
Structure: optimized geometry

Lattice parameters (Å, degrees): 6.0695 6.0695 9.7702 90.00 90.00 120.00
Space group P3m1 (No. 156)
One atom of each set of equivalent atoms:
1 Sm 0.0000 0.0000 0.0000 [1 per cell]
2 Ho 0.0000 0.0000 0.3727 [1 per cell]
3 Ho 0.6667 0.3333 0.4975 [1 per cell]
4 Ho 0.6667 0.3333 0.8677 [1 per cell]
5 Mg 0.1628 0.3256 0.6837 [3 per cell]
6 Mg 0.3333 0.6667 0.4347 [1 per cell]
7 Mg 0.3333 0.6667 0.9346 [1 per cell]
8 Mg 0.5043 0.0086 0.1856 [3 per cell]

Values from the calculation:
Density (g cm⁻³): 4.47
Calculated formation energy (kJ/mol of formula units): -79
M_tot (Bohr magnetons per cell): 0.0

9.
Compound: MnAgW
Source: Alexandria via LeMat-Bulk
Functional: GGA-PBE
Structure: optimized geometry

Lattice parameters (Å, degrees): 3.234 4.403 13.321 90.00 90.00 90.00
Space group Fmm2 (No. 42)
One atom of each set of equivalent atoms:
1 Mn 0.000 0.000 0.000 [4 per cell]
2 Ag 0.000 0.000 0.670 [4 per cell]
3 W 0.000 0.000 0.352 [4 per cell]

Values from the calculation:
Density (g cm⁻³): 12.14
Calculated formation energy (kJ/mol of formula units): 123
Energy relative to the lowest polymorph listed for this composition (kcal/mol of atoms): 0.00
M_tot (Bohr magnetons per cell): 11.5

10.
Compound: MgNiPb2
Source: Alexandria via LeMat-Bulk
Functional: GGA-PBE
Structure: optimized geometry

Lattice parameters (Å, degrees): 3.293 4.446 12.658 90.00 90.00 90.00
Space group Imm2 (No. 44)
One atom of each set of equivalent atoms:
1 Mg 0.000 0.000 0.000 [2 per cell]
2 Ni 0.000 0.500 0.319 [2 per cell]
3 Pb 0.000 0.000 0.629 [2 per cell]
4 Pb 0.000 0.500 0.829 [2 per cell]

Values from the calculation:
Density (g cm⁻³): 8.91
Calculated formation energy (kJ/mol of formula units): 32
M_tot (Bohr magnetons per cell): 0.0

11.
Compound: LaTb2Pr4Tm2
Source: Alexandria via LeMat-Bulk
Functional: GGA-PBE
Structure: optimized geometry

Lattice parameters (Å, degrees): 15.429 5.134 8.120 90.00 108.13 90.00
Space group C2/m (No. 12)
One atom of each set of equivalent atoms:
1 La 0.000 0.000 0.000 [2 per cell]
2 Tb 0.112 0.000 0.668 [4 per cell]
3 Pr 0.054 0.500 0.332 [4 per cell]
4 Pr 0.223 0.000 0.329 [4 per cell]
5 Tm 0.169 0.500 0.998 [4 per cell]

Values from the calculation:
Density (g cm⁻³): 7.38
Calculated formation energy (kJ/mol of formula units): 20
M_tot (Bohr magnetons per cell): 0.0

12.
Compound: NaTaB3
Source: Alexandria via LeMat-Bulk
Functional: GGA-PBE
Structure: optimized geometry

Lattice parameters (Å, degrees): 4.356 4.356 4.356 90.00 90.00 90.00
Space group Pm-3m (No. 221)
One atom of each set of equivalent atoms:
1 Na 0.000 0.000 0.000 [1 per cell]
2 Ta 0.500 0.500 0.500 [1 per cell]
3 B 0.000 0.500 0.500 [3 per cell]

Values from the calculation:
Density (g cm⁻³): 4.75
Calculated formation energy (kJ/mol of formula units): 556
Energy relative to the lowest polymorph listed for this composition (kcal/mol of atoms): 0.00
M_tot (Bohr magnetons per cell): 0.0

13.
Compound: Sr2TbSb3Pt4
Source: Alexandria via LeMat-Bulk
Functional: GGA-PBE
Structure: optimized geometry

Lattice parameters (Å, degrees): 4.627 4.627 11.379 90.00 90.00 90.00
Space group P-4m2 (No. 115)
One atom of each set of equivalent atoms:
1 Sr 0.000 0.500 0.226 [2 per cell]
2 Tb 0.000 0.000 0.500 [1 per cell]
3 Sb 0.000 0.500 0.876 [2 per cell]
4 Sb 0.500 0.500 0.500 [1 per cell]
5 Pt 0.000 0.000 0.000 [1 per cell]
6 Pt 0.000 0.500 0.644 [2 per cell]
7 Pt 0.500 0.500 0.000 [1 per cell]

Values from the calculation:
Density (g cm⁻³): 10.09
Formation energy (no corrections) (eV/atom): -0.897
M_tot (Bohr magnetons per cell): 0.0

14.
Compound: MgH3Rh
Source: Alexandria via LeMat-Bulk
Functional: GGA-PBE
Structure: optimized geometry

Lattice parameters (Å, degrees): 2.891 4.367 8.579 90.00 90.00 90.00
Space group Amm2 (No. 38)
One atom of each set of equivalent atoms:
1 Mg 0.000 0.000 0.000 [2 per cell]
2 H 0.000 0.231 0.685 [4 per cell]
3 H 0.500 0.000 0.856 [2 per cell]
4 Rh 0.500 0.000 0.662 [2 per cell]

Values from the calculation:
Density (g cm⁻³): 3.99
M_tot (Bohr magnetons per cell): 0.0
E (eV per atom): -3.875

15.
Compound: Ir2Br
Source: Alexandria via LeMat-Bulk
Functional: GGA-PBE
Structure: optimized geometry

Lattice parameters (Å, degrees): 2.897 21.615 4.046 90.00 90.00 90.00
Space group Cmcm (No. 63)
One atom of each set of equivalent atoms:
1 Ir 0.000 0.159 0.250 [4 per cell]
2 Ir 0.000 0.234 0.750 [4 per cell]
3 Br 0.000 0.419 0.250 [4 per cell]

Values from the calculation:
Density (g cm⁻³): 12.17
Formation energy (no corrections) (eV/atom): 0.691
Energy relative to the lowest polymorph listed for this composition (kcal/mol of atoms): 7.73
M_tot (Bohr magnetons per cell): 0.0

16.
Compound: Er2AlAg2
Source: Alexandria via LeMat-Bulk
Functional: GGA-PBE
Structure: optimized geometry

Lattice parameters (Å, degrees): 7.023 11.926 5.811 90.00 90.00 90.00
Space group Ibam (No. 72)
One atom of each set of equivalent atoms:
1 Er 0.178 0.164 0.000 [8 per cell]
2 Al 0.000 0.500 0.250 [4 per cell]
3 Ag 0.231 0.096 0.500 [8 per cell]

Values from the calculation:
Density (g cm⁻³): 7.88
Calculated formation energy (kJ/mol of formula units): -78
M_tot (Bohr magnetons per cell): 0.0

17.
Compound: CsKHg2
Source: Alexandria via LeMat-Bulk
Functional: GGA-PBE
Structure: optimized geometry

Lattice parameters (Å, degrees): 9.843 9.843 7.745 90.00 90.00 90.00
Space group I-42d (No. 122)
One atom of each set of equivalent atoms:
1 Cs 0.000 0.000 0.000 [4 per cell]
2 K 0.000 0.000 0.500 [4 per cell]
3 Hg 0.230 0.250 0.625 [8 per cell]

Values from the calculation:
Density (g cm⁻³): 5.07
Calculated formation energy (kJ/mol of formula units): -40
Energy relative to the lowest polymorph listed for this composition (kcal/mol of atoms): 3.01
M_tot (Bohr magnetons per cell): 0.0

18.
Compound: Nd2Sn5Ir3
Source: Alexandria via LeMat-Bulk
Functional: GGA-PBE
Structure: optimized geometry

Lattice parameters (Å, degrees): 4.504 26.782 7.349 90.00 90.00 90.00
Space group Cmc2_1 (No. 36)
One atom of each set of equivalent atoms:
1 Nd 0.000 0.023 0.000 [4 per cell]
2 Nd 0.000 0.327 0.024 [4 per cell]
3 Sn 0.000 0.097 0.372 [4 per cell]
4 Sn 0.000 0.206 0.817 [4 per cell]
5 Sn 0.000 0.210 0.242 [4 per cell]
6 Sn 0.000 0.379 0.496 [4 per cell]
7 Sn 0.000 0.452 0.163 [4 per cell]
8 Ir 0.000 0.106 0.744 [4 per cell]
9 Ir 0.000 0.277 0.531 [4 per cell]
10 Ir 0.000 0.449 0.782 [4 per cell]

Values from the calculation:
Density (g cm⁻³): 10.93
Calculated formation energy (kJ/mol of formula units): -606
M_tot (Bohr magnetons per cell): 0.0

19.
Compound: Tm2BeGa2Ni5
Source: Alexandria via LeMat-Bulk
Functional: GGA-PBE
Structure: optimized geometry

Lattice parameters (Å, degrees): 9.734 9.734 3.040 90.00 90.00 90.00
Space group P4/mbm (No. 127)
One atom of each set of equivalent atoms:
1 Tm 0.172 0.328 0.000 [4 per cell]
2 Be 0.000 0.000 0.000 [2 per cell]
3 Ga 0.132 0.632 0.000 [4 per cell]
4 Ni 0.000 0.500 0.500 [2 per cell]
5 Ni 0.050 0.817 0.500 [8 per cell]

Values from the calculation:
Density (g cm⁻³): 8.99
Calculated formation energy (kJ/mol of formula units): -289
M_tot (Bohr magnetons per cell): 0.0

20.
Compound: AcNdSi4
Source: Alexandria via LeMat-Bulk
Functional: GGA-PBE
Structure: optimized geometry

Lattice parameters (Å, degrees): 7.979 7.979 7.979 90.00 90.00 90.00
Space group F-43m (No. 216)
One atom of each set of equivalent atoms:
1 Ac 0.000 0.000 0.000 [4 per cell]
2 Nd 0.250 0.250 0.250 [4 per cell]
3 Si 0.113 0.113 0.613 [16 per cell]

Values from the calculation:
Density (g cm⁻³): 6.32
Formation energy (no corrections) (eV/atom): -0.231
Energy relative to the lowest polymorph listed for this composition (kcal/mol of atoms): 7.56
M_tot (Bohr magnetons per cell): 0.0

21.
Compound: CsHfSbTe2
Source: Alexandria via LeMat-Bulk
Functional: GGA-PBE
Structure: optimized geometry

Lattice parameters (Å, degrees): 6.031 6.031 6.039 90.00 90.00 90.00
Space group P4/mmm (No. 123)
One atom of each set of equivalent atoms:
1 Cs 0.000 0.000 0.000 [1 per cell]
2 Hf 0.500 0.500 0.500 [1 per cell]
3 Sb 0.000 0.000 0.500 [1 per cell]
4 Te 0.000 0.500 0.000 [2 per cell]

Values from the calculation:
Density (g cm⁻³): 5.20
Formation energy (no corrections) (eV/atom): 1.685
Energy relative to the lowest polymorph listed for this composition (kcal/mol of atoms): 50.79
M_tot (Bohr magnetons per cell): 0.3

22.
Compound: InSn2BiTe5
Source: Alexandria via LeMat-Bulk
Functional: GGA-PBE
Structure: optimized geometry

Lattice parameters (Å, degrees): 4.399 20.257 14.218 90.00 90.00 90.00
Space group Cmc2_1 (No. 36)
One atom of each set of equivalent atoms:
1 In 0.000 0.050 0.000 [4 per cell]
2 Sn 0.000 0.354 0.243 [4 per cell]
3 Sn 0.000 0.373 0.899 [4 per cell]
4 Bi 0.000 0.303 0.597 [4 per cell]
5 Te 0.000 0.030 0.341 [4 per cell]
6 Te 0.000 0.151 0.594 [4 per cell]
7 Te 0.000 0.186 0.938 [4 per cell]
8 Te 0.000 0.206 0.258 [4 per cell]
9 Te 0.000 0.464 0.624 [4 per cell]

Values from the calculation:
Density (g cm⁻³): 6.29
Formation energy (no corrections) (eV/atom): -0.244
M_tot (Bohr magnetons per cell): 0.0